1.
A relaxed structure of Ce3NiRu2. Source: Alexandria, functional GGA-PBE.

Lattice parameters (Å, degrees): 12.3769 5.8284 7.5067 90.00 107.60 90.00
Last column: nearest neighbours and their distance in Å.
Space group C2/c (No. 15)
Asymmetric unit:
Ce 0.0000 0.0746 0.2500  2 Ru 2.50, 1 Ni 2.80
Ce 0.1707 0.4274 0.6162  1 Ni 2.60, 1 Ru 2.62
Ni 0.0000 0.4063 0.7500  3 Ce 2.60-2.80
Ru 0.1648 0.0799 0.0048  2 Ce 2.50-2.62

Properties
**ρ**: 8.766 g/cm3
**ΔH_f (0 K)**: -1.82 eV per formula unit
**Uncorrected energy**: -175.80 eV/cell

***

2.
A relaxed structure of UNb6O16. Source: Alexandria, functional GGA-PBE.

Lattice parameters (Å, degrees): 22.7536 3.8351 7.4173 90.00 96.07 90.00
Last column: nearest neighbours and their distance in Å.
Space group C2 (No. 5)
Asymmetric unit:
U 0.0000 0.0000 0.0000  6 O 2.28-2.40
Nb 0.0732 0.0160 0.5276  4 O 1.84-2.02
Nb 0.1312 0.5368 0.8869  5 O 1.93-2.11
Nb 0.2225 0.8707 0.3220  5 O 1.94-2.08
O 0.0140 0.0106 0.3246  1 Nb 1.91
O 0.0564 0.4935 0.0208  1 Nb 2.07, 1 U 2.28
O 0.0789 0.5153 0.6101  2 Nb 2.01-2.02
O 0.1053 0.0195 0.8225  2 Nb 1.99-2.11
O 0.1413 0.9739 0.4169  1 Nb 1.84
O 0.1769 0.7176 0.1007  2 Nb 1.93-1.94
O 0.2034 0.4306 0.7832  2 Nb 1.93-1.95
O 0.2345 0.3840 0.4011  3 Nb 1.97-2.18

Properties
**Relative energy among the computed polymorphs**: 0.0 meV/atom
**ρ**: 5.425 g/cm3
**Formation energy without anion corrections**: -59.4 kcal/mol of atoms
**Uncorrected energy**: -420.59 eV/cell

***

3.
A relaxed structure of FePC2. Source: Alexandria, functional GGA-PBE.

Lattice parameters (Å, degrees): 3.6887 3.8934 4.0098 67.85 65.56 63.19
Last column: nearest neighbours and their distance in Å.
Space group P1 (No. 1)
Asymmetric unit:
Fe 0.0000 0.0000 0.0000  3 C 1.90-2.04
P 0.2349 0.3629 0.1551  2 C 1.79-1.83
C 0.5582 0.0785 0.4676  1 C 1.36
C 0.5761 0.0639 0.8054  1 C 1.36

Properties
**ρ**: 4.046 g/cm3
**ΔH_f (0 K)**: 2.49 eV per formula unit
**Uncorrected energy**: -29.83 eV/cell